# 1
Below is a relaxed SnPbAu2 crystal, with properties calculated at the PBE-GGA level.

Properties
E (eV/cell): -13.74

Unit cell a=5.070 b=5.070 c=5.070 alpha=60.00 beta=60.00 gamma=60.00
Sites, in units of the cell vectors:
Au 0.000 0.000 0.000
Au 0.750 0.750 0.750
Sn 0.250 0.250 0.250
Pb 0.500 0.500 0.500



# 2
Below is a relaxed Tm2SnPbAu2 crystal, with properties calculated at the PBE-GGA level.

Properties
E (eV/cell): -27.24
M_tot (μB/cell): 0.00

Unit cell a=4.713 b=4.713 c=7.474 alpha=90.00 beta=90.00 gamma=120.00
Sites, in units of the cell vectors:
Sn 0.333 0.667 0.229
Au 0.000 0.000 0.323
Au 0.333 0.667 0.847
Tm 0.667 0.333 0.999
Tm 0.667 0.333 0.494
Pb 0.000 0.000 0.722



# 3
Below is a relaxed Y2SnPbAu2 crystal, with properties calculated at the PBE-GGA level.

Properties
E (eV/cell): -127.38
M_tot (μB/cell): 0.00

Unit cell a=11.759 b=4.799 c=11.764 alpha=90.00 beta=109.48 gamma=90.00
Sites, in units of the cell vectors:
Y 0.375 0.000 0.375
Y 0.878 0.000 0.878
Y 0.250 0.500 0.000
Y 0.748 0.500 0.498
Y 0.000 0.500 0.252
Y 0.622 0.000 0.125
Y 0.503 0.500 0.750
Y 0.125 0.000 0.623
Pb 0.001 0.500 0.751
Pb 0.376 0.000 0.875
Pb 0.625 0.000 0.625
Pb 0.874 0.000 0.374
Sn 0.498 0.500 0.249
Sn 0.751 0.500 0.001
Sn 0.250 0.500 0.499
Sn 0.125 0.000 0.126
Au 0.373 0.000 0.128
Au 0.251 0.500 0.745
Au 0.745 0.500 0.245
Au 0.496 0.500 0.496
Au 0.631 0.000 0.880
Au 0.875 0.000 0.625
Au 0.001 0.500 0.006
Au 0.129 0.000 0.374



# 4
Below is a relaxed TbPbAu crystal, with properties calculated at the PBE-GGA level.

Properties
E (eV/cell): -13.67
M_tot (μB/cell): 0.00

Unit cell a=4.825 b=4.825 c=4.825 alpha=120.00 beta=90.00 gamma=120.00
Sites, in units of the cell vectors:
Au 0.750 0.500 0.250
Pb 0.000 0.000 0.000
Tb 0.500 0.000 0.500



# 5
Below is a relaxed TbTe3PbAu crystal, with properties calculated at the PBE-GGA level.

Properties
E (eV/cell): -50.67
M_tot (μB/cell): 0.00

Unit cell a=4.292 b=7.773 c=11.193 alpha=90.00 beta=90.00 gamma=73.97
Sites, in units of the cell vectors:
Te 0.647 0.706 0.052
Te 0.353 0.294 0.948
Te 0.908 0.185 0.250
Te 0.353 0.294 0.552
Te 0.092 0.815 0.750
Te 0.647 0.706 0.448
Tb 0.000 0.000 0.000
Tb 0.000 0.000 0.500
Au 0.532 0.935 0.250
Au 0.468 0.065 0.750
Pb 0.226 0.548 0.250
Pb 0.774 0.452 0.750



# 6
Below is a relaxed TbTe3PbAu crystal, with properties calculated at the PBE-GGA level.

Properties
E (eV/cell): -100.12
M_tot (μB/cell): 0.01

Unit cell a=12.613 b=4.469 c=12.735 alpha=90.00 beta=90.00 gamma=90.00
Sites, in units of the cell vectors:
Tb 0.035 0.250 0.192
Tb 0.465 0.750 0.692
Tb 0.965 0.750 0.808
Tb 0.535 0.250 0.308
Au 0.730 0.750 0.202
Au 0.770 0.250 0.702
Au 0.270 0.250 0.798
Au 0.230 0.750 0.298
Te 0.977 0.250 0.635
Te 0.716 0.750 0.824
Te 0.523 0.750 0.135
Te 0.909 0.750 0.064
Te 0.477 0.250 0.865
Te 0.784 0.250 0.324
Te 0.591 0.250 0.564
Te 0.409 0.750 0.436
Te 0.284 0.250 0.176
Te 0.091 0.250 0.936
Te 0.216 0.750 0.676
Te 0.023 0.750 0.365
Pb 0.201 0.250 0.471
Pb 0.701 0.250 0.029
Pb 0.299 0.750 0.971
Pb 0.799 0.750 0.529



# 7
Below is a relaxed TbTe3PbAu crystal, with properties calculated at the PBE-GGA level.

Properties
E (eV/cell): -100.64
M_tot (μB/cell): 0.01

Unit cell a=12.207 b=4.483 c=13.104 alpha=90.00 beta=90.00 gamma=90.00
Sites, in units of the cell vectors:
Au 0.268 0.000 0.802
Au 0.232 0.000 0.302
Au 0.768 0.500 0.698
Au 0.732 0.500 0.198
Pb 0.953 0.000 0.220
Pb 0.047 0.500 0.780
Pb 0.547 0.000 0.720
Pb 0.453 0.500 0.280
Te 0.946 0.500 0.399
Te 0.867 0.500 0.033
Te 0.133 0.000 0.967
Te 0.323 0.500 0.694
Te 0.677 0.000 0.306
Te 0.633 0.500 0.533
Te 0.177 0.500 0.194
Te 0.367 0.000 0.467
Te 0.054 0.000 0.601
Te 0.823 0.000 0.806
Te 0.446 0.000 0.101
Te 0.554 0.500 0.899
Tb 0.690 0.000 0.022
Tb 0.190 0.500 0.478
Tb 0.810 0.000 0.522
Tb 0.310 0.500 0.978



# 8
Below is a relaxed TbTe3PbAu crystal, with properties calculated at the PBE-GGA level.

Properties
E (eV/cell): -50.60
M_tot (μB/cell): 0.01

Unit cell a=8.369 b=4.322 c=10.694 alpha=90.00 beta=106.96 gamma=90.00
Sites, in units of the cell vectors:
Pb 0.770 0.250 0.792
Pb 0.230 0.750 0.208
Au 0.404 0.750 0.902
Au 0.596 0.250 0.098
Tb 0.797 0.750 0.322
Tb 0.203 0.250 0.678
Te 0.213 0.250 0.966
Te 0.457 0.750 0.659
Te 0.543 0.250 0.341
Te 0.077 0.250 0.371
Te 0.787 0.750 0.034
Te 0.923 0.750 0.629



# 9
Below is a relaxed TbTe3PbAu crystal, with properties calculated at the PBE-GGA level.

Properties
E (eV/cell): -50.28
M_tot (μB/cell): 0.00

Unit cell a=10.228 b=10.228 c=8.820 alpha=100.75 beta=100.75 gamma=24.32
Sites, in units of the cell vectors:
Tb 0.159 0.159 0.591
Tb 0.841 0.841 0.409
Te 0.679 0.679 0.353
Te 0.500 0.500 0.000
Te 0.321 0.321 0.647
Te 0.000 0.000 0.500
Te 0.688 0.688 0.849
Te 0.312 0.312 0.151
Au 0.447 0.447 0.287
Au 0.553 0.553 0.713
Pb 0.123 0.123 0.076
Pb 0.877 0.877 0.924



# 10
Below is a relaxed TbTe3PbAu crystal, with properties calculated at the PBE-GGA level.

Properties
E (eV/cell): -101.29
M_tot (μB/cell): 0.00

Unit cell a=10.450 b=4.565 c=16.130 alpha=90.00 beta=90.00 gamma=90.00
Sites, in units of the cell vectors:
Te 0.218 0.750 0.289
Te 0.144 0.250 0.527
Te 0.718 0.750 0.211
Te 0.481 0.250 0.369
Te 0.856 0.750 0.473
Te 0.282 0.250 0.789
Te 0.981 0.250 0.131
Te 0.644 0.250 0.973
Te 0.782 0.250 0.711
Te 0.019 0.750 0.869
Te 0.356 0.750 0.027
Te 0.519 0.750 0.631
Tb 0.174 0.250 0.967
Tb 0.326 0.750 0.467
Tb 0.674 0.250 0.533
Tb 0.826 0.750 0.033
Au 0.883 0.250 0.903
Au 0.617 0.750 0.403
Au 0.117 0.750 0.097
Au 0.383 0.250 0.597
Pb 0.964 0.750 0.662
Pb 0.536 0.250 0.162
Pb 0.036 0.250 0.338
Pb 0.464 0.750 0.838



# 11
Below is a relaxed TbTe3PbAu crystal, with properties calculated at the PBE-GGA level.

Properties
E (eV/cell): -101.37
M_tot (μB/cell): 0.01

Unit cell a=11.285 b=4.322 c=14.776 alpha=90.00 beta=90.00 gamma=90.00
Sites, in units of the cell vectors:
Au 0.254 0.750 0.781
Au 0.746 0.250 0.219
Au 0.754 0.750 0.719
Au 0.246 0.250 0.281
Tb 0.521 0.250 0.744
Tb 0.479 0.750 0.256
Tb 0.021 0.250 0.756
Tb 0.979 0.750 0.244
Pb 0.776 0.250 0.522
Pb 0.224 0.750 0.478
Pb 0.724 0.750 0.022
Pb 0.276 0.250 0.978
Te 0.537 0.250 0.109
Te 0.037 0.250 0.391
Te 0.963 0.750 0.609
Te 0.268 0.250 0.657
Te 0.732 0.750 0.343
Te 0.570 0.750 0.597
Te 0.232 0.750 0.157
Te 0.070 0.750 0.903
Te 0.463 0.750 0.891
Te 0.768 0.250 0.843
Te 0.930 0.250 0.097
Te 0.430 0.250 0.403



# 12
Below is a relaxed TbTe3PbAu crystal, with properties calculated at the PBE-GGA level.

Properties
E (eV/cell): -101.26
M_tot (μB/cell): 0.01

Unit cell a=14.658 b=4.328 c=11.643 alpha=90.00 beta=90.00 gamma=90.00
Sites, in units of the cell vectors:
Te 0.609 0.750 0.557
Te 0.150 0.250 0.247
Te 0.391 0.250 0.443
Te 0.650 0.250 0.253
Te 0.876 0.750 0.382
Te 0.891 0.250 0.057
Te 0.350 0.750 0.747
Te 0.376 0.750 0.118
Te 0.109 0.750 0.943
Te 0.124 0.250 0.618
Te 0.624 0.250 0.882
Te 0.850 0.750 0.753
Tb 0.492 0.250 0.681
Tb 0.508 0.750 0.319
Tb 0.008 0.750 0.181
Tb 0.992 0.250 0.819
Pb 0.722 0.750 0.059
Pb 0.778 0.250 0.559
Pb 0.278 0.250 0.941
Pb 0.222 0.750 0.441
Au 0.493 0.750 0.907
Au 0.507 0.250 0.093
Au 0.007 0.250 0.407
Au 0.993 0.750 0.593